Entry from Alexandria: AlAu2S after structural relaxation (PBE).

Properties
The spin magnetization comes out at 0.00 Bohr magnetons per cell. The calculated total energy comes out at -3.388 eV/atom.

abc: 6.5722 6.5722 6.5722
angles: 90.00 90.00 90.00
Space group Fm-3m (No. 225)
One atom of each set of equivalent atoms:
1 Al 0.0000 0.0000 0.0000 (multiplicity 4)
2 Au 0.2500 0.2500 0.2500 (multiplicity 8)
3 S 0.0000 0.0000 0.5000 (multiplicity 4)

Entry from Alexandria: Al2TcAuS after structural relaxation (PBE).

Properties
The spin magnetization comes out at 0.00 Bohr magnetons per cell. The calculated total energy comes out at -4.859 eV/atom.

abc: 4.9421 4.9421 4.3171
angles: 90.00 90.00 90.00
Space group P4/mmm (No. 123)
One atom of each set of equivalent atoms:
1 Al 0.0000 0.5000 0.0000 (multiplicity 2)
2 Tc 0.0000 0.0000 0.0000 (multiplicity 1)
3 Au 0.5000 0.5000 0.5000 (multiplicity 1)
4 S 0.0000 0.0000 0.5000 (multiplicity 1)

Entry from Alexandria: AlTc2AuS after structural relaxation (PBE).

Properties
The spin magnetization comes out at 6.78 Bohr magnetons per cell. The calculated total energy comes out at -4.622 eV/atom.

abc: 5.1363 5.1363 4.6449
angles: 90.00 90.00 90.00
Space group P4/mmm (No. 123)
One atom of each set of equivalent atoms:
1 Al 0.0000 0.0000 0.0000 (multiplicity 1)
2 Tc 0.0000 0.5000 0.5000 (multiplicity 2)
3 Au 0.5000 0.5000 0.5000 (multiplicity 1)
4 S 0.5000 0.5000 0.0000 (multiplicity 1)

Entry from Alexandria: AlTeAuS2 after structural relaxation (PBE).

Properties
The spin magnetization comes out at 0.00 Bohr magnetons per cell. The calculated total energy comes out at -3.518 eV/atom.

abc: 4.3635 4.3635 6.3458
angles: 90.00 90.00 90.00
Space group P4/mmm (No. 123)
One atom of each set of equivalent atoms:
1 Al 0.0000 0.0000 0.0000 (multiplicity 1)
2 Te 0.0000 0.0000 0.5000 (multiplicity 1)
3 Au 0.5000 0.5000 0.5000 (multiplicity 1)
4 S 0.0000 0.5000 0.0000 (multiplicity 2)

Entry from Alexandria: TiAl2AuS after structural relaxation (PBE).

Properties
The spin magnetization comes out at 0.43 Bohr magnetons per cell. The calculated total energy comes out at -3.618 eV/atom.

abc: 5.1612 5.1612 4.8271
angles: 90.00 90.00 90.00
Space group P4/mmm (No. 123)
One atom of each set of equivalent atoms:
1 Ti 0.0000 0.0000 0.0000 (multiplicity 1)
2 Al 0.0000 0.5000 0.0000 (multiplicity 2)
3 Au 0.0000 0.0000 0.5000 (multiplicity 1)
4 S 0.5000 0.5000 0.5000 (multiplicity 1)

Entry from Alexandria: AlSbAu3 after structural relaxation (PBE).

Properties
The spin magnetization comes out at 0.00 Bohr magnetons per cell. The value obtained for the energy above the most stable polymorph in this dataset is 44.5 kJ/mol of atoms.

abc: 4.8594 4.8594 4.8594
angles: 90.00 90.00 90.00
Space group Pm-3m (No. 221)
One atom of each set of equivalent atoms:
1 Al 0.0000 0.0000 0.0000 (multiplicity 1)
2 Sb 0.5000 0.5000 0.5000 (multiplicity 1)
3 Au 0.0000 0.0000 0.5000 (multiplicity 3)

Entry from Alexandria: Al2SbAu after structural relaxation (PBE).

Properties
The spin magnetization comes out at 0.00 Bohr magnetons per cell. The calculated total energy comes out at -3.800 eV/atom.

abc: 3.5451 3.5451 22.7704
angles: 90.00 90.00 120.00
Space group R-3m (No. 166, hexagonal axes)
One atom of each set of equivalent atoms:
1 Al 0.0000 0.0000 0.2405 (multiplicity 6)
2 Sb 0.0000 0.0000 0.0000 (multiplicity 3)
3 Au 0.0000 0.0000 0.5000 (multiplicity 3)

Entry from Alexandria: Al2SbAu6 after structural relaxation (PBE).

Properties
The spin magnetization comes out at 0.00 Bohr magnetons per cell. The calculated total energy comes out at -3.652 eV/atom.

abc: 8.8058 4.6180 8.6045
angles: 90.00 98.74 90.00
Space group C2/m (No. 12)
One atom of each set of equivalent atoms:
1 Al 0.2258 0.0000 0.3713 (multiplicity 4)
2 Sb 0.0000 0.0000 0.0000 (multiplicity 2)
3 Au 0.0854 0.5000 0.3597 (multiplicity 4)
4 Au 0.1015 0.0000 0.6731 (multiplicity 4)
5 Au 0.1696 0.5000 0.8999 (multiplicity 4)